BaLiLa2 | PBE | optimized geometry

Unit cell a=8.323 b=8.323 c=8.323 alpha=90.00 beta=90.00 gamma=90.00
Space group Fm-3m (No. 225)
Asymmetric unit:
Ba 0.000 0.000 0.000 x4
Li 0.000 0.000 0.500 x4
La 0.250 0.250 0.250 x8

The total magnetization is 0.0 μB/cell. As for the energy above the most stable polymorph in this dataset: 206 meV per atom. The density of states at the Fermi level comes out at 9.6 states/eV/f.u. The value obtained for the calculated total energy is -49.99 eV for the cell shown.



B2C | PBE | optimized geometry

Unit cell a=15.238 b=2.651 c=4.498 alpha=90.00 beta=105.60 gamma=90.00
Space group Cm (No. 8)
Asymmetric unit:
B 0.000 0.000 0.000 x2
B 0.004 0.000 0.639 x2
B 0.069 0.500 0.160 x2
B 0.198 0.000 0.796 x2
B 0.319 0.500 0.095 x2
B 0.322 0.000 0.548 x2
B 0.388 0.500 0.786 x2
B 0.478 0.000 0.347 x2
C 0.176 0.500 0.279 x2
C 0.208 0.500 0.975 x2
C 0.213 0.000 0.463 x2
C 0.368 0.000 0.243 x2

The total magnetization is 0.0 μB/cell. As for the energy above the most stable polymorph in this dataset: 313 meV per atom. The density of states at the Fermi level comes out at 0.2 states/eV/f.u. The value obtained for the calculated total energy is -168.67 eV for the cell shown.



KPuO3 | PBE | optimized geometry

Unit cell a=4.281 b=4.281 c=4.281 alpha=90.00 beta=90.00 gamma=90.00
Space group Pm-3m (No. 221)
Asymmetric unit:
K 0.000 0.000 0.000 x1
Pu 0.500 0.500 0.500 x1
O 0.000 0.500 0.500 x3

The total magnetization is 3.0 μB/cell. The formation energy (no corrections) comes out at -2.583 eV/atom. The density of states at the Fermi level comes out at 4.1 states/eV/f.u. The value obtained for the calculated total energy is -43.22 eV for the cell shown.



Zn2InTc | PBE | optimized geometry

Unit cell a=2.803 b=4.640 c=5.120 alpha=90.00 beta=90.67 gamma=90.00
Space group P2/m (No. 10)
Asymmetric unit:
Zn 0.167 0.000 0.277 x2
In 0.000 0.500 0.000 x1
Tc 0.500 0.500 0.500 x1

The total magnetization is 0.0 μB/cell. The density of states at the Fermi level comes out at 2.9 states/eV/f.u. The value obtained for the calculated total energy is -14.76 eV for the cell shown.



PaP3W | PBE | optimized geometry

Unit cell a=7.361 b=5.708 c=9.923 alpha=90.00 beta=122.40 gamma=90.00
Space group P2_1/c (No. 14)
Asymmetric unit:
Pa 0.142 0.244 0.174 x4
P 0.082 0.739 0.169 x4
P 0.238 0.044 0.471 x4
P 0.422 0.582 0.649 x4
W 0.436 0.747 0.425 x4

The total magnetization is 0.0 μB/cell. The density of states at the Fermi level comes out at 3.5 states/eV/f.u. The value obtained for the calculated total energy is -166.73 eV for the cell shown.



Rb3LiU2O9 | PBE | optimized geometry

Unit cell a=6.1487 b=6.1487 c=7.5163 alpha=90.00 beta=90.00 gamma=120.00
Space group P-3m1 (No. 164)
Asymmetric unit:
Rb 0.0000 0.0000 0.0000 x1
Rb 0.3333 0.6667 0.6547 x2
Li 0.0000 0.0000 0.5000 x1
U 0.3333 0.6667 0.1685 x2
O 0.0000 0.5000 0.0000 x3
O 0.1787 0.3574 0.3162 x6

The total magnetization is 2.0 μB/cell. The formation energy (no corrections) comes out at -2.334 eV/atom. The density of states at the Fermi level comes out at 9.2 states/eV/f.u. The value obtained for the calculated total energy is -107.03 eV for the cell shown.



RbNb2TeO | PBE | optimized geometry

Unit cell a=4.313 b=4.313 c=6.155 alpha=90.00 beta=90.00 gamma=90.00
Space group P4/mmm (No. 123)
Asymmetric unit:
Rb 0.000 0.000 0.000 x1
Nb 0.000 0.500 0.500 x2
Te 0.500 0.500 0.000 x1
O 0.500 0.500 0.500 x1

The total magnetization is 0.0 μB/cell. The formation energy (no corrections) comes out at 0.086 eV/atom. The density of states at the Fermi level comes out at 5.3 states/eV/f.u. The value obtained for the calculated total energy is -28.78 eV for the cell shown.



PrHo2V | PBE | optimized geometry

Unit cell a=3.589 b=3.589 c=8.830 alpha=90.00 beta=90.00 gamma=90.00
Space group P4/mmm (No. 123)
Asymmetric unit:
Pr 0.000 0.000 0.000 x1
Ho 0.500 0.500 0.306 x2
V 0.000 0.000 0.500 x1

The total magnetization is 3.4 μB/cell. As for the energy above the most stable polymorph in this dataset: 0 meV per atom. The density of states at the Fermi level comes out at 3.9 states/eV/f.u. The value obtained for the calculated total energy is -22.26 eV for the cell shown.



Mn3Zn4Co4 | PBE | optimized geometry

Unit cell a=2.519 b=4.197 c=26.422 alpha=90.00 beta=90.00 gamma=90.00
Space group Immm (No. 71)
Asymmetric unit:
Mn 0.000 0.000 0.000 x2
Mn 0.000 0.500 0.137 x4
Zn 0.000 0.000 0.270 x4
Zn 0.000 0.500 0.410 x4
Co 0.000 0.000 0.457 x4
Co 0.000 0.500 0.319 x4

The total magnetization is 29.5 μB/cell. The density of states at the Fermi level comes out at 9.6 states/eV/f.u. The value obtained for the calculated total energy is -119.13 eV for the cell shown.



Re3TcGe | PBE | optimized geometry

Unit cell a=4.698 b=4.698 c=4.698 alpha=90.00 beta=90.00 gamma=90.00
Space group Pm-3m (No. 221)
Asymmetric unit:
Re 0.000 0.000 0.500 x3
Tc 0.000 0.000 0.000 x1
Ge 0.500 0.500 0.500 x1

The total magnetization is 1.6 μB/cell. As for the energy above the most stable polymorph in this dataset: 287 meV per atom. The density of states at the Fermi level comes out at 6.2 states/eV/f.u. The value obtained for the calculated total energy is -41.55 eV for the cell shown.



La2Mg3Pb4 | PBE | optimized geometry

Unit cell a=6.700 b=17.134 c=8.846 alpha=90.00 beta=90.00 gamma=90.00
Space group Cmce (No. 64)
Asymmetric unit:
La 0.000 0.115 0.083 x8
Mg 0.000 0.000 0.500 x4
Mg 0.250 0.216 0.750 x8
Pb 0.000 0.184 0.452 x8
Pb 0.250 0.045 0.750 x8

The total magnetization is 0.0 μB/cell. The density of states at the Fermi level comes out at 5.3 states/eV/f.u. The value obtained for the calculated total energy is -131.48 eV for the cell shown.



Si2As | PBE | optimized geometry

Unit cell a=3.597 b=17.938 c=3.278 alpha=90.00 beta=90.00 gamma=90.00
Space group Cmcm (No. 63)
Asymmetric unit:
Si 0.000 0.054 0.250 x4
Si 0.000 0.272 0.750 x4
As 0.000 0.390 0.250 x4

The total magnetization is 0.0 μB/cell. The formation energy (no corrections) comes out at 0.382 eV/atom. As for the energy above the most stable polymorph in this dataset: 222 meV per atom. The density of states at the Fermi level comes out at 1.0 states/eV/f.u. The value obtained for the calculated total energy is -57.40 eV for the cell shown.



Please write out number 11 again, unchanged.
La2Mg3Pb4 | PBE | optimized geometry

Unit cell a=6.700 b=17.134 c=8.846 alpha=90.00 beta=90.00 gamma=90.00
Space group Cmce (No. 64)
Asymmetric unit:
La 0.000 0.115 0.083 x8
Mg 0.000 0.000 0.500 x4
Mg 0.250 0.216 0.750 x8
Pb 0.000 0.184 0.452 x8
Pb 0.250 0.045 0.750 x8

The total magnetization is 0.0 μB/cell. The density of states at the Fermi level comes out at 5.3 states/eV/f.u. The value obtained for the calculated total energy is -131.48 eV for the cell shown.